Computed, not measured: an optimized crystal structure of ReSiI3 at the PBE level of DFT.

```
5
Lattice="-0.536 -4.830 2.897 3.764 -2.472 -3.426 4.191 1.603 3.447" Properties=species:S:1:pos:R:3 pbc="T T T"
I 1.882 -1.236 -1.713
I 2.095 0.801 1.724
I -0.268 -2.415 1.449
Re 3.709 -2.850 1.459
Si 0.000 0.000 0.000
```

DOS(E_F), states/eV per cell: 0.15
Energy relative to the elements, uncorrected, eV/atom: 1.258
Final energy, eV per cell: -16.2
Symmetry: Pm-3m (221)

***

Computed, not measured: an optimized crystal structure of AlInS2 at the PBE level of DFT.

```
4
Lattice="7.631 0.000 1.635 1.420 1.782 -2.743 -1.420 1.782 2.743" Properties=species:S:1:pos:R:3 pbc="T T T"
S 6.933 1.782 0.115
S 0.698 1.782 1.520
Al 0.000 0.000 0.000
In 3.815 1.782 0.818
```

DOS(E_F), states/eV per cell: 0.14
Energy relative to the elements, uncorrected, eV/atom: -0.728
Final energy, eV per cell: -17.6
Symmetry: R-3m (166)

***

Computed, not measured: an optimized crystal structure of CePm2Lu at the PBE level of DFT.

```
4
Lattice="-3.903 -0.090 -1.460 -0.717 -1.057 -3.967 -2.202 -8.424 0.454" Properties=species:S:1:pos:R:3 pbc="T T T"
Lu -3.411 -4.786 -2.487
Ce 0.000 0.000 0.000
Pm -1.670 -1.965 -1.364
Pm -5.152 -7.606 -3.610
```

DOS(E_F), states/eV per cell: 6.66
Final energy, eV per cell: -17.5
Symmetry: R-3m (166)

***

Computed, not measured: an optimized crystal structure of CsIrC2O8 at the PBE level of DFT.

```
12
Lattice="-3.908 -0.408 2.375 -1.057 -4.305 1.196 3.660 0.314 7.816" Properties=species:S:1:pos:R:3 pbc="T T T"
Cs 1.830 0.157 3.908
Ir 0.000 0.000 0.000
C -2.490 -2.904 3.575
C 1.186 -1.496 7.813
O -0.013 -1.165 8.591
O -3.590 -3.512 2.925
O -2.292 -3.135 4.818
O 0.988 -1.265 6.570
O 2.285 -0.888 8.463
O 1.286 -2.939 8.054
O -2.590 -1.461 3.334
O -1.292 -3.235 2.797
```

DOS(E_F), states/eV per cell: 4.59
Energy relative to the elements, uncorrected, eV/atom: -0.872
Final energy, eV per cell: -78.3
Symmetry: C2/m (12)

***

Computed, not measured: an optimized crystal structure of In6Hg10Bi at the PBE level of DFT.

```
17
Lattice="-3.921 4.945 -0.234 -6.874 -5.586 -2.851 1.325 1.481 9.090" Properties=species:S:1:pos:R:3 pbc="T T T"
In -4.433 1.830 1.961
In -1.677 4.199 5.860
In -7.100 -0.474 -2.038
In -5.037 -0.991 4.045
In -0.919 2.226 2.997
In -3.695 -0.167 -1.047
Hg -7.196 1.402 4.111
Hg -2.952 4.696 2.608
Hg -5.485 2.512 -1.081
Hg -2.275 -0.562 1.895
Hg 0.356 1.729 6.248
Hg -5.310 -3.154 -2.003
Hg -3.369 1.597 4.993
Hg -6.102 -0.758 1.013
Hg -4.141 -3.230 1.130
Hg -1.408 -0.875 5.110
Bi -1.961 2.472 -0.117
```

DOS(E_F), states/eV per cell: 5.63
Final energy, eV per cell: -22.9
Symmetry: P-31m (162)

***

Computed, not measured: an optimized crystal structure of SrLiCa2Cu at the PBE level of DFT.

```
5
Lattice="5.681 0.000 0.000 0.000 5.681 0.000 0.000 0.000 5.337" Properties=species:S:1:pos:R:3 pbc="T T T"
Sr 2.840 2.840 2.669
Ca 0.000 2.840 0.000
Ca 2.840 0.000 0.000
Cu 0.000 0.000 0.000
Li 0.000 0.000 2.669
```

DOS(E_F), states/eV per cell: 3.60
Final energy, eV per cell: -11.4
Symmetry: P4/mmm (123)

***

Computed, not measured: an optimized crystal structure of AcPm4Nd at the PBE level of DFT.

```
12
Lattice="-1.742 -1.149 3.090 1.697 -11.710 -3.397 7.639 4.090 5.827" Properties=species:S:1:pos:R:3 pbc="T T T"
Ac 3.797 -4.384 2.760
Ac 0.000 0.000 0.000
Pm 2.002 -1.152 2.953
Pm 1.793 -3.234 -0.189
Pm 5.593 -7.617 2.566
Pm 5.802 -5.535 5.708
Pm 1.913 -7.626 2.737
Pm 1.844 -9.615 -0.291
Pm 5.682 -1.143 2.782
Pm 5.751 0.846 5.810
Nd 3.820 2.045 2.913
Nd -0.022 -6.430 -0.154
```

DOS(E_F), states/eV per cell: 18.87
Final energy, eV per cell: -55.4
Symmetry: C2/m (12)

***

Computed, not measured: an optimized crystal structure of NdZn3Pt at the PBE level of DFT.

```
10
Lattice="5.681 0.000 0.123 0.000 5.529 0.000 0.193 0.000 5.971" Properties=species:S:1:pos:R:3 pbc="T T T"
Nd 3.837 4.147 2.051
Nd 2.037 1.382 4.043
Zn 4.837 5.515 5.055
Zn 1.038 0.014 1.039
Zn 4.837 2.778 5.055
Zn 1.038 2.751 1.039
Zn 0.825 4.147 3.340
Zn 5.049 1.382 2.754
Pt 2.590 4.147 5.212
Pt 3.284 1.382 0.882
```

DOS(E_F), states/eV per cell: 3.08
Final energy, eV per cell: -34.8
Symmetry: P2_1/m (11)

***

Computed, not measured: an optimized crystal structure of TaSiNi2 at the PBE level of DFT.

```
4
Lattice="-1.180 -2.280 1.360 2.468 -0.395 1.480 -2.053 3.691 4.406" Properties=species:S:1:pos:R:3 pbc="T T T"
Ni -0.051 0.091 0.109
Ni 0.093 -0.346 2.604
Si -0.927 1.668 1.991
Ta -0.906 1.449 4.746
```

DOS(E_F), states/eV per cell: 1.80
Energy relative to the elements, uncorrected, eV/atom: -0.315
Final energy, eV per cell: -30.1
Symmetry: P4mm (99)

***

Computed, not measured: an optimized crystal structure of Zn2CoPW at the PBE level of DFT.

```
5
Lattice="-2.171 4.036 -1.726 -2.190 0.451 3.810 3.657 2.728 1.779" Properties=species:S:1:pos:R:3 pbc="T T T"
P -0.352 3.607 1.932
Zn 1.828 1.364 0.890
Zn -1.085 2.018 -0.863
Co -1.095 0.226 1.905
W 0.000 0.000 0.000
```

DOS(E_F), states/eV per cell: 5.09
Final energy, eV per cell: -19.9
Symmetry: P4/mmm (123)

***

Computed, not measured: an optimized crystal structure of Ba8PdAu3I4 at the PBE level of DFT.

```
16
Lattice="-0.027 -5.872 -7.391 10.394 -0.156 0.085 -4.391 -2.448 7.990" Properties=species:S:1:pos:R:3 pbc="T T T"
Ba 3.058 -3.860 6.127
Ba 5.296 -2.614 2.057
Ba 0.706 -2.885 2.290
Ba 3.044 -6.852 2.361
Ba 2.932 -1.624 -1.677
Ba 5.270 -5.591 -1.606
Ba 0.680 -5.862 -1.373
Ba 2.918 -4.616 -5.443
Pd 5.197 -0.078 0.043
Au 5.184 -3.014 -3.653
Au 2.988 -4.238 0.342
Au 3.001 -1.302 4.037
I -0.014 -2.936 -3.695
I -2.209 -4.160 0.299
I 0.000 0.000 0.000
I -2.196 -1.224 3.995
```

DOS(E_F), states/eV per cell: 11.24
Energy relative to the elements, uncorrected, eV/atom: -1.052
Final energy, eV per cell: -53.4
Symmetry: R-3m (166)

***

Computed, not measured: an optimized crystal structure of K2ScTe3O12 at the PBE level of DFT.

```
18
Lattice="-2.317 -2.531 6.499 2.854 -6.177 2.778 4.426 0.298 5.860" Properties=species:S:1:pos:R:3 pbc="T T T"
K 3.132 -5.307 9.552
K 1.831 -3.103 5.585
Sc 0.000 0.000 0.000
Te -1.159 -1.265 3.250
Te 1.427 -3.088 1.389
Te 2.213 0.149 2.930
O 4.256 -2.524 8.387
O 1.998 -7.966 10.580
O 5.960 -6.304 10.205
O 0.203 -4.224 8.771
O 2.921 -4.162 12.391
O 3.311 -6.415 6.534
O 0.708 -5.886 6.750
O 2.966 -0.444 4.556
O -0.996 -2.106 4.932
O 4.761 -4.186 6.365
O 2.042 -4.248 2.746
O 1.653 -1.995 8.602
```

DOS(E_F), states/eV per cell: 8.86
Energy relative to the elements, uncorrected, eV/atom: -1.450
Final energy, eV per cell: -103.5
Symmetry: R-3m (166)